Record 1
! PBE ZrMnFe2, optimized geometry; values from VASP
&SYSTEM
  ibrav = 0, nat = 4, ntyp = 3
/
ATOMIC_SPECIES
Zr 91.22 Zr.upf
Mn 54.94 Mn.upf
Fe 55.84 Fe.upf
CELL_PARAMETERS angstrom
2.7563 0.0000 0.0000
0.0000 3.9377 0.0000
-1.3443 0.0000 5.1491
ATOMIC_POSITIONS crystal
Zr 0.0000 0.0000 0.0000
Mn 0.5000 0.0000 0.5000
Fe 0.2617 0.5000 0.7078
Fe 0.7383 0.5000 0.2922
! Calculated total energy (eV per atom): -8.498
! Fermi-level density of states (states/eV/f.u.): 5.2

Record 2
! PBE AcAlPd2, optimized geometry; values from VASP
&SYSTEM
  ibrav = 0, nat = 4, ntyp = 3
/
ATOMIC_SPECIES
Ac 227.00 Ac.upf
Al 26.98 Al.upf
Pd 106.42 Pd.upf
CELL_PARAMETERS angstrom
3.3898 0.0000 0.0000
0.0000 3.3898 0.0000
0.0000 0.0000 7.1608
ATOMIC_POSITIONS crystal
Ac 0.0000 0.0000 0.0000
Al 0.0000 0.0000 0.5000
Pd 0.5000 0.5000 0.3103
Pd 0.5000 0.5000 0.6897
! Calculated total energy (eV per atom): -5.158
! Fermi-level density of states (states/eV/f.u.): 2.5

Record 3
! PBE AcNd7Er4, optimized geometry; values from VASP
&SYSTEM
  ibrav = 0, nat = 12, ntyp = 3
/
ATOMIC_SPECIES
Ac 227.00 Ac.upf
Nd 144.24 Nd.upf
Er 167.26 Er.upf
CELL_PARAMETERS angstrom
6.3731 0.0000 0.0000
-0.0053 7.3575 0.0000
-2.1263 -0.0081 8.8124
ATOMIC_POSITIONS crystal
Ac 0.0000 0.0000 0.0000
Nd 0.0000 0.5000 0.0000
Nd 0.2264 0.9989 0.6612
Nd 0.2832 0.7452 0.3379
Nd 0.5004 0.2568 0.0020
Nd 0.4996 0.7432 0.9980
Nd 0.7168 0.2548 0.6621
Nd 0.7736 0.0011 0.3388
Er 0.2167 0.4992 0.6640
Er 0.2790 0.2585 0.3361
Er 0.7210 0.7415 0.6639
Er 0.7833 0.5008 0.3360
! ΔE to the lowest computed polymorph (meV per atom): 0
! Fermi-level density of states (states/eV/f.u.): 17.8

Record 4
! PBE CrNiB, optimized geometry; values from VASP
&SYSTEM
  ibrav = 0, nat = 3, ntyp = 3
/
ATOMIC_SPECIES
Cr 52.00 Cr.upf
Ni 58.69 Ni.upf
B 10.81 B.upf
CELL_PARAMETERS angstrom
-1.2194 1.2615 4.4862
1.2194 -1.2615 4.4862
1.2194 1.2615 -4.4862
ATOMIC_POSITIONS crystal
Cr 0.0000 0.0000 0.0000
Ni 0.7135 0.7135 0.0000
B 0.3415 0.3415 0.0000
! Calculated total energy (eV per atom): -7.409
! Fermi-level density of states (states/eV/f.u.): 3.2

Record 5
! PBE AcLa5PrHo2, optimized geometry; values from VASP
&SYSTEM
  ibrav = 0, nat = 18, ntyp = 4
/
ATOMIC_SPECIES
Ac 227.00 Ac.upf
La 138.91 La.upf
Pr 140.91 Pr.upf
Ho 164.93 Ho.upf
CELL_PARAMETERS angstrom
2.9574 -8.8903 0.0000
2.9574 8.8903 0.0000
0.0000 0.0000 12.5002
ATOMIC_POSITIONS crystal
Ac 0.1162 0.8838 0.5000
Ac 0.8838 0.1162 0.0000
La 0.0750 0.9250 0.8511
La 0.0788 0.9212 0.1682
La 0.2699 0.7301 0.7085
La 0.2706 0.7294 0.2959
La 0.4381 0.5619 0.1521
La 0.5619 0.4381 0.6521
La 0.7294 0.2706 0.7959
La 0.7301 0.2699 0.2085
La 0.9212 0.0788 0.6682
La 0.9250 0.0750 0.3511
Pr 0.2451 0.7549 0.0020
Pr 0.7549 0.2451 0.5020
Ho 0.3900 0.6100 0.5035
Ho 0.4378 0.5622 0.8582
Ho 0.5622 0.4378 0.3582
Ho 0.6100 0.3900 0.0035
! Calculated total energy (eV per atom): -4.672
! Fermi-level density of states (states/eV/f.u.): 14.2

Record 6
! PBE KPaAs2, optimized geometry; values from VASP
&SYSTEM
  ibrav = 0, nat = 4, ntyp = 3
/
ATOMIC_SPECIES
K 39.10 K.upf
Pa 231.04 Pa.upf
As 74.92 As.upf
CELL_PARAMETERS angstrom
3.7038 0.0000 0.0000
0.0000 3.7038 0.0000
0.0000 0.0000 7.8525
ATOMIC_POSITIONS crystal
K 0.0000 0.0000 0.0000
Pa 0.0000 0.0000 0.5000
As 0.5000 0.5000 0.3105
As 0.5000 0.5000 0.6895
! ΔE to the lowest computed polymorph (meV per atom): 186
! Fermi-level density of states (states/eV/f.u.): 3.6

Record 7
! PBE MnBTeAu, optimized geometry; values from VASP
&SYSTEM
  ibrav = 0, nat = 4, ntyp = 4
/
ATOMIC_SPECIES
Mn 54.94 Mn.upf
B 10.81 B.upf
Te 127.60 Te.upf
Au 196.97 Au.upf
CELL_PARAMETERS angstrom
1.6554 0.9558 6.9506
-1.6554 0.9558 6.9506
0.0000 -1.9115 6.9506
ATOMIC_POSITIONS crystal
Mn 0.0000 0.0000 0.0000
B 0.3783 0.3783 0.3783
Te 0.2513 0.2513 0.2513
Au 0.1204 0.1204 0.1204
! ΔE to the lowest computed polymorph (meV per atom): 114
! Energy relative to the elements, uncorrected (eV/atom): 0.321
! Fermi-level density of states (states/eV/f.u.): 1.6

Record 8
! PBE LaPm2PrY2, optimized geometry; values from VASP
&SYSTEM
  ibrav = 0, nat = 12, ntyp = 4
/
ATOMIC_SPECIES
La 138.91 La.upf
Pm 145.00 Pm.upf
Pr 140.91 Pr.upf
Y 88.91 Y.upf
CELL_PARAMETERS angstrom
6.6985 0.0000 0.0000
0.0000 18.3230 0.0000
0.0000 0.0000 3.4375
ATOMIC_POSITIONS crystal
La 0.0000 0.0000 0.0000
La 0.5000 0.5000 0.5000
Pm 0.2223 0.1853 0.0000
Pm 0.2777 0.6854 0.5000
Pm 0.7223 0.3146 0.5000
Pm 0.7777 0.8146 0.0000
Pr 0.0000 0.5000 0.0000
Pr 0.5000 0.0000 0.5000
Y 0.2195 0.3499 0.5000
Y 0.2805 0.8499 0.0000
Y 0.7195 0.1501 0.0000
Y 0.7805 0.6501 0.5000
! Calculated total energy (eV per atom): -5.090
! Fermi-level density of states (states/eV/f.u.): 11.6